Entry from Alexandria via LeMat-Bulk: a crystal of SrSiSb2 relaxed with PBEsol (SCAN).

The space group is I-4m2 (No. 119) and the conventional cell measures 4.451, 4.451 and 10.317 Å, with angles of 90.00, 90.00 and 90.00 degrees. The asymmetric unit holds Sr at (0.000, 0.000, 0.000), Si at (0.000, 0.500, 0.750), Sb at (0.000, 0.000, 0.500) and Sb at (0.000, 0.500, 0.250).

As for the uncorrected formation energy: -0.063 eV per atom. Its uncorrected energy is -26.766 eV per atom.

---

Entry from Alexandria via LeMat-Bulk: a crystal of Sr2SiSb relaxed with PBEsol (SCAN).

The space group is I-42d (No. 122) and the conventional cell measures 8.587, 8.587 and 6.608 Å, with angles of 90.00, 90.00 and 90.00 degrees. The asymmetric unit holds Sr at (0.235, 0.750, 0.125), Si at (0.000, 0.000, 0.000) and Sb at (0.000, 0.000, 0.500).

As for the uncorrected formation energy: -0.239 eV per atom. The energy above the most stable polymorph in this dataset is 287 meV per atom. Its uncorrected energy is -23.195 eV per atom.

---

Entry from Alexandria via LeMat-Bulk: a crystal of Ta2SiSb relaxed with PBEsol (SCAN).

The space group is C2/m (No. 12) and the conventional cell measures 9.122, 3.302 and 4.783 Å, with angles of 90.00, 96.01 and 90.00 degrees. The asymmetric unit holds Ta at (0.246, 0.000, 0.265), Si at (0.000, 0.000, 0.500) and Sb at (0.000, 0.500, 0.000).

As for the uncorrected formation energy: 0.147 eV per atom. The energy above the most stable polymorph in this dataset is 103 meV per atom. Its uncorrected energy is -44.964 eV per atom.

---

Entry from Alexandria via LeMat-Bulk: a crystal of TaSi2Sb relaxed with PBEsol (SCAN).

The space group is C2/m (No. 12) and the conventional cell measures 5.657, 9.119 and 3.260 Å, with angles of 90.00, 122.29 and 90.00 degrees. The asymmetric unit holds Ta at (0.000, 0.000, 0.000), Si at (0.250, 0.250, 0.500) and Sb at (0.000, 0.500, 0.000).

As for the uncorrected formation energy: 0.549 eV per atom. Its uncorrected energy is -30.420 eV per atom.

---

Entry from Alexandria via LeMat-Bulk: a crystal of Ta2SiSb relaxed with PBEsol (SCAN).

The space group is Cmmm (No. 65) and the conventional cell measures 3.768, 4.875 and 7.688 Å, with angles of 90.00, 90.00 and 90.00 degrees. The asymmetric unit holds Ta at (0.000, 0.000, 0.220), Si at (0.000, 0.500, 0.000) and Sb at (0.000, 0.500, 0.500).

As for the uncorrected formation energy: 0.132 eV per atom. The energy above the most stable polymorph in this dataset is 89 meV per atom. Its uncorrected energy is -44.978 eV per atom.

---

Entry from Alexandria via LeMat-Bulk: a crystal of Ta2SiSb relaxed with PBEsol (SCAN).

The space group is R3m (No. 160, hexagonal axes) and the conventional cell measures 3.2071, 3.2071 and 25.3969 Å, with angles of 90.00, 90.00 and 120.00 degrees. The asymmetric unit holds Ta at (0.0000, 0.0000, 0.0000), Ta at (0.0000, 0.0000, 0.2530), Si at (0.0000, 0.0000, 0.5124) and Sb at (0.0000, 0.0000, 0.7543).

As for the uncorrected formation energy: 0.235 eV per atom. The energy above the most stable polymorph in this dataset is 191 meV per atom. Its uncorrected energy is -44.876 eV per atom.

---

Entry from Alexandria via LeMat-Bulk: a crystal of TaSiSb4 relaxed with PBEsol (SCAN).

The space group is F-43m (No. 216) and the conventional cell measures 8.380, 8.380 and 8.380 Å, with angles of 90.00, 90.00 and 90.00 degrees. The asymmetric unit holds Ta at (0.000, 0.000, 0.000), Si at (0.250, 0.250, 0.250) and Sb at (0.125, 0.125, 0.625).

As for the uncorrected formation energy: 1.204 eV per atom. Its uncorrected energy is -36.403 eV per atom.

---

Entry from Alexandria via LeMat-Bulk: a crystal of TaSiSb3 relaxed with PBEsol (SCAN).

The space group is Pm-3m (No. 221) and the conventional cell measures 5.268, 5.268 and 5.268 Å, with angles of 90.00, 90.00 and 90.00 degrees. The asymmetric unit holds Ta at (0.000, 0.000, 0.000), Si at (0.500, 0.500, 0.500) and Sb at (0.000, 0.000, 0.500).

As for the uncorrected formation energy: 0.936 eV per atom. Its uncorrected energy is -36.740 eV per atom.

---

Entry from Alexandria via LeMat-Bulk: a crystal of Ta2SiSb relaxed with PBEsol (SCAN).

The space group is Cm (No. 8) and the conventional cell measures 9.554, 3.354 and 4.575 Å, with angles of 90.00, 104.71 and 90.00 degrees. The asymmetric unit holds Ta at (0.000, 0.000, 0.000), Ta at (0.212, 0.000, 0.625), Si at (0.490, 0.000, 0.514) and Sb at (0.240, 0.500, 0.146).

As for the uncorrected formation energy: 0.044 eV per atom. The energy above the most stable polymorph in this dataset is 0 meV per atom. Its uncorrected energy is -45.067 eV per atom.

---

Entry from Alexandria via LeMat-Bulk: a crystal of Tb10Si3Sb3 relaxed with PBEsol (SCAN).

The space group is P-62m (No. 189) and the conventional cell measures 8.6535, 8.6535 and 6.2742 Å, with angles of 90.00, 90.00 and 120.00 degrees. The asymmetric unit holds Tb at (0.0000, 0.2425, 0.0000), Tb at (0.0000, 0.7558, 0.5000), Tb at (0.3333, 0.6667, 0.2600), Si at (0.0000, 0.3900, 0.5000) and Sb at (0.0000, 0.6047, 0.0000).

As for the uncorrected formation energy: -0.855 eV per atom. Its uncorrected energy is -38.946 eV per atom.

---

Entry from Alexandria via LeMat-Bulk: a crystal of Tb5Si2Sb2 relaxed with PBEsol (SCAN).

The space group is Cmce (No. 64) and the conventional cell measures 14.965, 7.751 and 7.776 Å, with angles of 90.00, 90.00 and 90.00 degrees. The asymmetric unit holds Tb at (0.000, 0.000, 0.000), Tb at (0.128, 0.172, 0.328), Si at (0.000, 0.122, 0.622) and Sb at (0.207, 0.000, 0.000).

As for the uncorrected formation energy: -0.989 eV per atom. Its uncorrected energy is -37.474 eV per atom.

---

Entry from Alexandria via LeMat-Bulk: a crystal of SiTcSb4 relaxed with PBEsol (SCAN).

The space group is F-43m (No. 216) and the conventional cell measures 8.443, 8.443 and 8.443 Å, with angles of 90.00, 90.00 and 90.00 degrees. The asymmetric unit holds Si at (0.000, 0.000, 0.000), Tc at (0.250, 0.250, 0.750) and Sb at (0.125, 0.125, 0.375).

As for the uncorrected formation energy: 1.181 eV per atom. Its uncorrected energy is -31.172 eV per atom.